A plane-wave DFT calculation with GGA+U was carried out for crystalline PmVO2 at its relaxed geometry.

Symmetry   R-3m
Uncorrected energy   -7.332 eV per atom

Cell lengths 6.759, 6.759, 6.759 Å; angles 28.48, 28.48, 28.48 degrees
Fractional coordinates of all 4 atoms:
1 Pm 0.000 0.000 0.000
2 V 0.500 0.500 0.500
3 O 0.117 0.117 0.117
4 O 0.883 0.883 0.883